## TaFeTe2 (GGA-PBE)

Data for TaFeTe2 after structural relaxation.

Values from the calculation:
formation energy without anion corrections	0.28	eV per atom
E_tot	-6.3666	eV per atom
N(E_F)	12.56	states/eV/cell

Cell and atoms, written as POSCAR:
```
TaFeTe2
1.0
3.4858 0.0000 0.0000
-1.7429 3.0188 0.0000
0.0000 0.0000 23.5959
Ta Fe Te
3 3 6
direct
0.0000 0.0000 0.0000
0.3333 0.6667 0.6667
0.6667 0.3333 0.3333
0.0000 0.0000 0.5000
0.3333 0.6667 0.1667
0.6667 0.3333 0.8333
0.0000 0.0000 0.2476
0.0000 0.0000 0.7524
0.3333 0.6667 0.4190
0.3333 0.6667 0.9143
0.6667 0.3333 0.0857
0.6667 0.3333 0.5810
```


## CaSiP2S (GGA-PBE)

Data for CaSiP2S after structural relaxation.

Values from the calculation:
formation energy without anion corrections	-0.15	eV per atom
E_tot	-4.6220	eV per atom
N(E_F)	3.22	states/eV/cell

Cell and atoms, written as POSCAR:
```
CaSiP2S
1.0
4.5602 0.0000 0.0000
0.0000 4.5602 0.0000
0.0000 0.0000 4.7983
Ca Si P S
1 1 2 1
direct
0.0000 0.0000 0.0000
0.5000 0.5000 0.5000
0.0000 0.5000 0.5000
0.5000 0.0000 0.5000
0.5000 0.5000 0.0000
```


## ScTa2Au (GGA-PBE)

Data for ScTa2Au after structural relaxation.

Values from the calculation:
energy of formation from the pure elements	5	kJ/mol of atoms
E_tot	-8.2738	eV per atom
N(E_F)	10.23	states/eV/cell

Cell and atoms, written as POSCAR:
```
ScTa2Au
1.0
3.0479 0.0000 0.0000
-1.5239 2.6395 0.0000
0.0000 0.0000 28.6223
Sc Ta Au
3 6 3
direct
0.0000 0.0000 0.0000
0.3333 0.6667 0.6667
0.6667 0.3333 0.3333
0.0000 0.0000 0.5012
0.0000 0.0000 0.7515
0.3333 0.6667 0.1679
0.3333 0.6667 0.4181
0.6667 0.3333 0.0848
0.6667 0.3333 0.8345
0.0000 0.0000 0.2491
0.3333 0.6667 0.9157
0.6667 0.3333 0.5824
```


## VBiMo2 (GGA-PBE)

Data for VBiMo2 after structural relaxation.

Values from the calculation:
energy of formation from the pure elements	86	kJ/mol of atoms
E_tot	-7.7769	eV per atom
N(E_F)	20.59	states/eV/cell

Cell and atoms, written as POSCAR:
```
VBiMo2
1.0
3.9758 0.0000 0.0000
0.0000 3.9758 0.0000
0.0000 0.0000 19.5951
V Bi Mo
4 4 8
direct
0.0000 0.0000 0.0000
0.0000 0.5000 0.2500
0.5000 0.0000 0.7500
0.5000 0.5000 0.5000
0.0000 0.0000 0.5000
0.0000 0.5000 0.7500
0.5000 0.0000 0.2500
0.5000 0.5000 0.0000
0.2037 0.2500 0.1250
0.2500 0.7037 0.3750
0.2500 0.7963 0.8750
0.2963 0.2500 0.6250
0.7037 0.7500 0.6250
0.7500 0.2037 0.8750
0.7500 0.2963 0.3750
0.7963 0.7500 0.1250
```


## InNiPdPt (GGA-PBE)

Data for InNiPdPt after structural relaxation.

Values from the calculation:
energy of formation from the pure elements	-27	kJ/mol of atoms
E_tot	-5.2157	eV per atom
N(E_F)	14.57	states/eV/cell

Cell and atoms, written as POSCAR:
```
InNiPdPt
1.0
6.2977 0.0000 0.0000
0.0000 6.2977 0.0000
0.0000 0.0000 6.2977
In Ni Pd Pt
4 4 4 4
direct
0.0000 0.0000 0.0000
0.0000 0.5000 0.5000
0.5000 0.0000 0.5000
0.5000 0.5000 0.0000
0.0000 0.0000 0.5000
0.0000 0.5000 0.0000
0.5000 0.0000 0.0000
0.5000 0.5000 0.5000
0.2500 0.2500 0.7500
0.2500 0.7500 0.2500
0.7500 0.2500 0.2500
0.7500 0.7500 0.7500
0.2500 0.2500 0.2500
0.2500 0.7500 0.7500
0.7500 0.2500 0.7500
0.7500 0.7500 0.2500
```


## Nb2AgGe2 (GGA-PBE)

Data for Nb2AgGe2 after structural relaxation.

Values from the calculation:
energy of formation from the pure elements	1	kJ/mol of atoms
E_tot	-6.4342	eV per atom
N(E_F)	8.69	states/eV/cell

Cell and atoms, written as POSCAR:
```
Nb2AgGe2
1.0
7.5338 0.0000 0.0000
0.0000 7.5338 0.0000
0.0000 0.0000 3.2130
Nb Ag Ge
4 2 4
direct
0.1268 0.3732 0.0000
0.3732 0.8732 0.0000
0.6268 0.1268 0.0000
0.8732 0.6268 0.0000
0.0000 0.0000 0.0000
0.5000 0.5000 0.0000
0.1688 0.6688 0.5000
0.3312 0.1688 0.5000
0.6688 0.8312 0.5000
0.8312 0.3312 0.5000
```


## ThCuH8Ir2 (GGA-PBE)

Data for ThCuH8Ir2 after structural relaxation.

Values from the calculation:
E_tot	-4.8207	eV per atom
N(E_F)	1.80	states/eV/cell

Cell and atoms, written as POSCAR:
```
ThCuH8Ir2
1.0
4.0468 -2.2561 0.0000
4.0468 2.2561 0.0000
-2.6836 0.0000 5.5989
Th Cu H Ir
1 1 8 2
direct
0.0000 0.0000 0.0000
0.5000 0.5000 0.5000
0.0817 0.5724 0.1865
0.2536 0.2536 0.4017
0.4276 0.9183 0.8135
0.4416 0.4416 0.8134
0.5584 0.5584 0.1866
0.5724 0.0817 0.1865
0.7464 0.7464 0.5983
0.9183 0.4276 0.8135
0.2125 0.2125 0.6477
0.7875 0.7875 0.3523
```


## CaAlS2 (GGA-PBE)

Data for CaAlS2 after structural relaxation.

Values from the calculation:
formation energy without anion corrections	-0.98	eV per atom
E_tot	-4.4840	eV per atom
N(E_F)	6.33	states/eV/cell

Cell and atoms, written as POSCAR:
```
CaAlS2
1.0
4.1540 0.0000 0.0000
-2.0770 3.5975 0.0000
0.0000 0.0000 21.9709
Ca Al S
3 3 6
direct
0.0000 0.0000 0.0000
0.3333 0.6667 0.6667
0.6667 0.3333 0.3333
0.0000 0.0000 0.5000
0.3333 0.6667 0.1667
0.6667 0.3333 0.8333
0.0000 0.0000 0.4002
0.0000 0.0000 0.5998
0.3333 0.6667 0.0669
0.3333 0.6667 0.2665
0.6667 0.3333 0.7335
0.6667 0.3333 0.9331
```


## Sm2Er2Cd (GGA-PBE)

Data for Sm2Er2Cd after structural relaxation.

Values from the calculation:
energy of formation from the pure elements	5	kJ/mol of atoms
E_tot	-3.8416	eV per atom
N(E_F)	16.34	states/eV/cell

Cell and atoms, written as POSCAR:
```
Sm2Er2Cd
1.0
-2.5746 2.5746 12.1904
2.5746 -2.5746 12.1904
2.5746 2.5746 -12.1904
Sm Er Cd
4 4 2
direct
0.0472 0.2972 0.7500
0.2972 0.0472 0.2500
0.7028 0.9528 0.7500
0.9528 0.7028 0.2500
0.1971 0.4471 0.7500
0.4471 0.1971 0.2500
0.5529 0.8029 0.7500
0.8029 0.5529 0.2500
0.1250 0.8750 0.2500
0.8750 0.1250 0.7500
```


## KTcAu (GGA-PBE)

Data for KTcAu after structural relaxation.

Values from the calculation:
energy of formation from the pure elements	121	kJ/mol of atoms
E_tot	-3.6550	eV per atom
N(E_F)	12.35	states/eV/cell

Cell and atoms, written as POSCAR:
```
KTcAu
1.0
7.0086 0.0000 0.0000
0.0000 7.0086 0.0000
0.0000 0.0000 7.0086
K Tc Au
4 4 4
direct
0.0000 0.0000 0.0000
0.0000 0.5000 0.5000
0.5000 0.0000 0.5000
0.5000 0.5000 0.0000
0.0000 0.0000 0.5000
0.0000 0.5000 0.0000
0.5000 0.0000 0.0000
0.5000 0.5000 0.5000
0.2500 0.2500 0.7500
0.2500 0.7500 0.2500
0.7500 0.2500 0.2500
0.7500 0.7500 0.7500
```


## Pm2EuSn (GGA-PBE)

Data for Pm2EuSn after structural relaxation.

Values from the calculation:
energy of formation from the pure elements	-4	kJ/mol of atoms
E_tot	-5.9903	eV per atom
N(E_F)	15.34	states/eV/cell

Cell and atoms, written as POSCAR:
```
Pm2EuSn
1.0
3.6068 0.0000 0.0000
-1.8034 3.1236 0.0000
0.0000 0.0000 36.1056
Pm Eu Sn
6 3 3
direct
0.0000 0.0000 0.0958
0.0000 0.0000 0.9042
0.3333 0.6667 0.5709
0.3333 0.6667 0.7624
0.6667 0.3333 0.2376
0.6667 0.3333 0.4291
0.0000 0.0000 0.0000
0.3333 0.6667 0.6667
0.6667 0.3333 0.3333
0.0000 0.0000 0.5000
0.3333 0.6667 0.1667
0.6667 0.3333 0.8333
```


## Zr2VZnC (GGA-PBE)

Data for Zr2VZnC after structural relaxation.

Values from the calculation:
energy of formation from the pure elements	-34	kJ/mol of atoms
E_tot	-7.6942	eV per atom
N(E_F)	2.67	states/eV/cell

Cell and atoms, written as POSCAR:
```
Zr2VZnC
1.0
4.5711 0.0000 0.0000
0.0000 4.5711 0.0000
0.0000 0.0000 3.9604
Zr V Zn C
2 1 1 1
direct
0.0000 0.5000 0.0000
0.5000 0.0000 0.0000
0.0000 0.0000 0.5000
0.5000 0.5000 0.5000
0.0000 0.0000 0.0000
```


## LaHo8Er5 (GGA-PBE)

Data for LaHo8Er5 after structural relaxation.

Values from the calculation:
energy of formation from the pure elements	24	kJ/mol of atoms
E_tot	-4.3516	eV per atom
N(E_F)	21.72	states/eV/cell

Cell and atoms, written as POSCAR:
```
LaHo8Er5
1.0
-4.7070 4.7070 5.1207
4.7070 -4.7070 5.1207
4.7070 4.7070 -5.1207
La Ho Er
1 8 5
direct
0.0000 0.0000 0.0000
0.0895 0.3313 0.4168
0.2839 0.1780 0.7503
0.3274 0.9105 0.2419
0.4277 0.5336 0.2497
0.4664 0.7161 0.8941
0.6687 0.0855 0.7581
0.8220 0.5723 0.1059
0.9145 0.6726 0.5832
0.0314 0.4372 0.8250
0.2500 0.7500 0.5000
0.5628 0.3878 0.5942
0.6122 0.2064 0.1750
0.7936 0.9686 0.4058
```


## BaAlTlZn2 (GGA-PBE)

Data for BaAlTlZn2 after structural relaxation.

Values from the calculation:
energy of formation from the pure elements	97	kJ/mol of atoms
E_tot	-1.1060	eV per atom
N(E_F)	7.55	states/eV/cell

Cell and atoms, written as POSCAR:
```
BaAlTlZn2
1.0
6.0355 0.0000 0.0000
0.0000 6.0355 0.0000
0.0000 0.0000 6.5826
Ba Al Tl Zn
1 1 1 2
direct
0.0000 0.0000 0.0000
0.5000 0.5000 0.5000
0.0000 0.0000 0.5000
0.0000 0.5000 0.0000
0.5000 0.0000 0.0000
```


## CaCr2Se (GGA-PBE)

Data for CaCr2Se after structural relaxation.

Values from the calculation:
formation energy without anion corrections	0.44	eV per atom
E_tot	-5.7433	eV per atom
N(E_F)	4.51	states/eV/cell

Cell and atoms, written as POSCAR:
```
CaCr2Se
1.0
3.5213 0.0000 0.0000
0.0000 3.5213 0.0000
0.0000 0.0000 6.0892
Ca Cr Se
1 2 1
direct
0.0000 0.0000 0.0000
0.5000 0.5000 0.3387
0.5000 0.5000 0.6613
0.0000 0.0000 0.5000
```


## LiAcGdPb (GGA-PBE)

Data for LiAcGdPb after structural relaxation.

Values from the calculation:
energy of formation from the pure elements	-25	kJ/mol of atoms
E_tot	-6.2079	eV per atom
N(E_F)	23.30	states/eV/cell

Cell and atoms, written as POSCAR:
```
LiAcGdPb
1.0
7.9266 0.0000 0.0000
0.0000 7.9266 0.0000
0.0000 0.0000 7.9266
Li Ac Gd Pb
4 4 4 4
direct
0.0000 0.0000 0.0000
0.0000 0.5000 0.5000
0.5000 0.0000 0.5000
0.5000 0.5000 0.0000
0.2500 0.2500 0.2500
0.2500 0.7500 0.7500
0.7500 0.2500 0.7500
0.7500 0.7500 0.2500
0.2500 0.2500 0.7500
0.2500 0.7500 0.2500
0.7500 0.2500 0.2500
0.7500 0.7500 0.7500
0.0000 0.0000 0.5000
0.0000 0.5000 0.0000
0.5000 0.0000 0.0000
0.5000 0.5000 0.5000
```


## SmY5Mg4 (GGA-PBE)

Data for SmY5Mg4 after structural relaxation.

Values from the calculation:
energy of formation from the pure elements	-8	kJ/mol of atoms
E_tot	-4.4195	eV per atom
N(E_F)	14.68	states/eV/cell

Cell and atoms, written as POSCAR:
```
SmY5Mg4
1.0
3.7498 0.0000 0.0000
0.0000 3.7498 0.0000
0.0000 0.0000 20.4031
Sm Y Mg
1 5 4
direct
0.0000 0.0000 0.0000
0.5000 0.5000 0.1204
0.5000 0.5000 0.3106
0.5000 0.5000 0.5000
0.5000 0.5000 0.6894
0.5000 0.5000 0.8796
0.0000 0.0000 0.2163
0.0000 0.0000 0.4047
0.0000 0.0000 0.5953
0.0000 0.0000 0.7837
```


## SrTlGa2Ru (GGA-PBE)

Data for SrTlGa2Ru after structural relaxation.

Values from the calculation:
energy of formation from the pure elements	-21	kJ/mol of atoms
E_tot	-4.0923	eV per atom
N(E_F)	3.21	states/eV/cell

Cell and atoms, written as POSCAR:
```
SrTlGa2Ru
1.0
4.8418 0.0000 0.0000
0.0000 4.8418 0.0000
0.0000 0.0000 5.3029
Sr Tl Ga Ru
1 1 2 1
direct
0.0000 0.0000 0.0000
0.5000 0.5000 0.0000
0.0000 0.5000 0.5000
0.5000 0.0000 0.5000
0.5000 0.5000 0.5000
```


## Na3YCr (GGA-PBE)

Data for Na3YCr after structural relaxation.

Values from the calculation:
energy of formation from the pure elements	91	kJ/mol of atoms
E_tot	-3.0692	eV per atom
N(E_F)	5.13	states/eV/cell

Cell and atoms, written as POSCAR:
```
Na3YCr
1.0
5.5461 0.0000 0.0000
0.0000 5.5461 0.0000
0.0000 0.0000 5.5461
Na Y Cr
3 1 1
direct
0.0000 0.0000 0.5000
0.0000 0.5000 0.0000
0.5000 0.0000 0.0000
0.5000 0.5000 0.5000
0.0000 0.0000 0.0000
```


## Sc3Ge3Pt2 (GGA-PBE)

Data for Sc3Ge3Pt2 after structural relaxation.

Values from the calculation:
energy of formation from the pure elements	-90	kJ/mol of atoms
E_tot	-6.5535	eV per atom
N(E_F)	12.72	states/eV/cell

Cell and atoms, written as POSCAR:
```
Sc3Ge3Pt2
1.0
7.7956 0.0000 0.0000
0.0000 13.9712 0.0000
0.0000 0.0000 5.4461
Sc Ge Pt
12 12 8
direct
0.0408 0.1135 0.1235
0.0408 0.3865 0.1235
0.1884 0.2500 0.6354
0.3116 0.7500 0.1354
0.4592 0.6135 0.6235
0.4592 0.8865 0.6235
0.5408 0.1135 0.3765
0.5408 0.3865 0.3765
0.6884 0.2500 0.8646
0.8116 0.7500 0.3646
0.9592 0.6135 0.8765
0.9592 0.8865 0.8765
0.1829 0.7500 0.6393
0.2082 0.0394 0.5848
0.2082 0.4606 0.5848
0.2918 0.5394 0.0848
0.2918 0.9606 0.0848
0.3171 0.2500 0.1393
0.6829 0.7500 0.8607
0.7082 0.0394 0.9152
0.7082 0.4606 0.9152
0.7918 0.5394 0.4152
0.7918 0.9606 0.4152
0.8171 0.2500 0.3607
0.0818 0.6109 0.3741
0.0818 0.8891 0.3741
0.4182 0.1109 0.8741
0.4182 0.3891 0.8741
0.5818 0.6109 0.1259
0.5818 0.8891 0.1259
0.9182 0.1109 0.6259
0.9182 0.3891 0.6259
```